No. 1
Pm3Y: optimized geometry, PBE.

Values from the calculation:
Energy relative to the lowest polymorph listed for this composition: 0 meV per atom
Crystal system: tetragonal
Energy: -5.1657 eV/atom
Spin magnetization: 0.000 μB/cell

a b c (Å): 5.1403 5.1403 10.2592
angles (deg): 90.00 90.00 90.00
Space group I4/mmm (No. 139)
Symmetry-distinct sites (fractional):
Pm 0.0000 0.0000 0.0000
Pm 0.0000 0.5000 0.2500
Y 0.0000 0.0000 0.5000

No. 2
TlCrTc2: optimized geometry, PBE.

Values from the calculation:
Energy relative to the lowest polymorph listed for this composition: 177 meV per atom
Crystal system: tetragonal
Energy: -7.5726 eV/atom
Spin magnetization: 4.201 μB/cell

a b c (Å): 3.9767 3.9767 8.0687
angles (deg): 90.00 90.00 90.00
Space group I-4m2 (No. 119)
Symmetry-distinct sites (fractional):
Tl 0.0000 0.0000 0.0000
Cr 0.0000 0.5000 0.7500
Tc 0.0000 0.0000 0.5000
Tc 0.0000 0.5000 0.2500

No. 3
Ta2BiRu: optimized geometry, PBE.

Values from the calculation:
Crystal system: tetragonal
Energy: -8.4722 eV/atom
Spin magnetization: 0.000 μB/cell

a b c (Å): 3.9914 3.9914 20.1480
angles (deg): 90.00 90.00 90.00
Space group I-42d (No. 122)
Symmetry-distinct sites (fractional):
Ta 0.2493 0.2500 0.1250
Bi 0.0000 0.0000 0.5000
Ru 0.0000 0.0000 0.0000

No. 4
Ba4NaSr7: optimized geometry, PBE.

Values from the calculation:
Crystal system: trigonal
Energy: -1.7106 eV/atom
Spin magnetization: 0.001 μB/cell

a b c (Å): 4.3237 4.3237 42.0766
angles (deg): 90.00 90.00 120.00
Space group P-3m1 (No. 164)
Symmetry-distinct sites (fractional):
Ba 0.3333 0.6667 0.1603
Ba 0.3333 0.6667 0.4140
Na 0.0000 0.0000 0.0000
Sr 0.0000 0.0000 0.2460
Sr 0.0000 0.0000 0.5000
Sr 0.3333 0.6667 0.6718
Sr 0.3333 0.6667 0.9251

No. 5
InW: optimized geometry, PBE.

Values from the calculation:
Energy relative to the lowest polymorph listed for this composition: 1032 meV per atom
Crystal system: cubic
Energy: -6.4123 eV/atom
Spin magnetization: 0.000 μB/cell

a b c (Å): 8.5851 8.5851 8.5851
angles (deg): 90.00 90.00 90.00
Space group I-43m (No. 217)
Symmetry-distinct sites (fractional):
In 0.2096 0.2096 0.2096
W 0.1030 0.1030 0.8970

No. 6
Li4TlPd: optimized geometry, PBE.

Values from the calculation:
Energy relative to the lowest polymorph listed for this composition: 0 meV per atom
Crystal system: monoclinic
Energy: -2.7920 eV/atom
Spin magnetization: 0.000 μB/cell

a b c (Å): 2.9735 4.4301 7.7282
angles (deg): 90.00 90.03 90.00
Space group Pm (No. 6)
Symmetry-distinct sites (fractional):
Li 0.0000 0.0000 0.0000
Li 0.0010 0.5000 0.1829
Li 0.0016 0.0000 0.6018
Li 0.5028 0.5000 0.4671
Tl 0.5013 0.5000 0.8307
Pd 0.5016 0.0000 0.2957

No. 7
Rb2GeSbF: optimized geometry, PBE.

Values from the calculation:
Crystal system: tetragonal
Formation energy without anion corrections: -21.51 kJ/mol of atoms
Energy: -2.7321 eV/atom
Spin magnetization: 3.036 μB/cell

a b c (Å): 7.1307 7.1307 4.4744
angles (deg): 90.00 90.00 90.00
Space group P4/mmm (No. 123)
Symmetry-distinct sites (fractional):
Rb 0.0000 0.5000 0.0000
Ge 0.0000 0.0000 0.5000
Sb 0.5000 0.5000 0.0000
F 0.5000 0.5000 0.5000

No. 8
Pm2FeTcN5: optimized geometry, PBE.

Values from the calculation:
Crystal system: orthorhombic
Formation energy without anion corrections: -55.56 kJ/mol of atoms
Energy: -8.3489 eV/atom
Spin magnetization: 3.535 μB/cell

a b c (Å): 3.2918 13.7979 9.8350
angles (deg): 90.00 90.00 90.00
Space group Cmc2_1 (No. 36)
Symmetry-distinct sites (fractional):
Pm 0.0000 0.1213 0.0000
Pm 0.0000 0.1252 0.6240
Fe 0.0000 0.4407 0.7592
Tc 0.0000 0.2049 0.3275
N 0.0000 0.0316 0.3261
N 0.0000 0.3052 0.9551
N 0.0000 0.3166 0.6826
N 0.0000 0.3390 0.3131
N 0.0000 0.4953 0.5925

No. 9
BaNiBiH2: optimized geometry, PBE.

Values from the calculation:
Crystal system: orthorhombic
Energy: -3.9843 eV/atom
Spin magnetization: 0.000 μB/cell

a b c (Å): 4.2633 12.4457 6.7748
angles (deg): 90.00 90.00 90.00
Space group Cmcm (No. 63)
Symmetry-distinct sites (fractional):
Ba 0.0000 0.2041 0.2500
Ni 0.0000 0.5000 0.0000
Bi 0.0000 0.0641 0.7500
H 0.0000 0.3742 0.5365

No. 10
ScZnOs2: optimized geometry, PBE.

Values from the calculation:
Crystal system: tetragonal
Energy: -7.4126 eV/atom
Spin magnetization: 0.000 μB/cell

a b c (Å): 3.8891 3.8891 8.2622
angles (deg): 90.00 90.00 90.00
Space group I4/mmm (No. 139)
Symmetry-distinct sites (fractional):
Sc 0.0000 0.0000 0.0000
Zn 0.0000 0.0000 0.5000
Os 0.0000 0.5000 0.2500

No. 11
Pd3Ru: optimized geometry, PBE.

Values from the calculation:
Crystal system: orthorhombic
Energy: -6.0264 eV/atom
Spin magnetization: 1.207 μB/cell

a b c (Å): 2.7474 4.5378 4.8245
angles (deg): 90.00 90.00 90.00
Space group Pmm2 (No. 25)
Symmetry-distinct sites (fractional):
Pd 0.0000 0.0000 0.0000
Pd 0.0000 0.5000 0.3274
Pd 0.5000 0.5000 0.8185
Ru 0.5000 0.0000 0.4994

No. 12
LaRu2: optimized geometry, PBE.

Values from the calculation:
Crystal system: orthorhombic
Energy: -7.7894 eV/atom
Spin magnetization: 0.001 μB/cell

a b c (Å): 10.0349 5.2977 4.6390
angles (deg): 90.00 90.00 90.00
Space group Cmcm (No. 63)
Symmetry-distinct sites (fractional):
La 0.0000 0.2413 0.2500
Ru 0.2274 0.3633 0.7500